Run i
The following is a DFT calculation (PBE-GGA) of an optimized crystal structure of YReAs2.

The structure in CIF format:
```
data_YReAs2
_space_group_name_H-M_alt 'P 1'
_space_group_IT_number 1
_space_group_name_Hall 'P 1'
_cell_length_a 4.6569
_cell_length_b 4.6569
_cell_length_c 4.6569
_cell_angle_alpha 60.00
_cell_angle_beta 60.00
_cell_angle_gamma 60.00
loop_
_atom_site_label
_atom_site_type_symbol
_atom_site_fract_x
_atom_site_fract_y
_atom_site_fract_z
_atom_site_occupancy
Y1 Y 0.0000 0.0000 0.0000 1
Re1 Re 0.5000 0.5000 0.5000 1
As1 As 0.2500 0.2500 0.2500 1
As2 As 0.7500 0.7500 0.7500 1
```

***

Run ii
The following is a DFT calculation (PBE-GGA) of an optimized crystal structure of YReAs2.

The structure in CIF format:
```
data_YReAs2
_space_group_name_H-M_alt 'P 1'
_space_group_IT_number 1
_space_group_name_Hall 'P 1'
_cell_length_a 3.4058
_cell_length_b 3.4058
_cell_length_c 6.4961
_cell_angle_alpha 90.00
_cell_angle_beta 90.00
_cell_angle_gamma 90.00
loop_
_atom_site_label
_atom_site_type_symbol
_atom_site_fract_x
_atom_site_fract_y
_atom_site_fract_z
_atom_site_occupancy
Y1 Y 0.0000 0.0000 0.0000 1
Re1 Re 0.5000 0.5000 0.6750 1
As1 As 0.0000 0.0000 0.5200 1
As2 As 0.5000 0.5000 0.2595 1
```

***

What is the most stable structure shown above? It is run i.